This record from the Alexandria database describes a relaxed BAu2Cl crystal. The functional is PBE.

Calculated values
- Crystal system: cubic
- Energy relative to the elements, uncorrected: 1.17 eV per atom
- ΔE to the lowest computed polymorph: 342 kJ/mol of formula units

Cell and atoms, written as CIF:
```
data_BAu2Cl
_symmetry_space_group_name_H-M 'F m -3 m'
_symmetry_Int_Tables_number 225
_symmetry_space_group_name_Hall '-F 4 2 3'
_cell_length_a 6.462
_cell_length_b 6.462
_cell_length_c 6.462
_cell_angle_alpha 90.00
_cell_angle_beta 90.00
_cell_angle_gamma 90.00
loop_
_atom_site_label
_atom_site_fract_x
_atom_site_fract_y
_atom_site_fract_z
B1 0.000 0.000 0.000
Au1 0.250 0.250 0.250
Cl1 0.000 0.000 0.500
```